# 1
PmNiMo | PBE-GGA | relaxed

Structure (CIF):
```
data_PmNiMo
_chemical_formula_sum 'Pm4 Ni4 Mo4'
_space_group_name_H-M_alt 'F -4 3 m'
_space_group_IT_number 216
_space_group_name_Hall 'F -4 2 3'
_cell_length_a 6.313
_cell_length_b 6.313
_cell_length_c 6.313
_cell_angle_alpha 90.00
_cell_angle_beta 90.00
_cell_angle_gamma 90.00
loop_
_atom_site_label
_atom_site_type_symbol
_atom_site_fract_x
_atom_site_fract_y
_atom_site_fract_z
_atom_site_occupancy
Pm1 Pm 0.000 0.000 0.000 1
Ni1 Ni 0.250 0.250 0.750 1
Mo1 Mo 0.000 0.000 0.500 1
```

Summary:
E_form	633	meV/atom
excess energy over the best structure of this formula in the dataset	0.00	eV per formula unit
magnetization	9.0	Bohr magnetons per cell



# 2
PmNiMo | PBE-GGA | relaxed

Structure (CIF):
```
data_PmNiMo
_chemical_formula_sum 'Pm4 Ni4 Mo4'
_space_group_name_H-M_alt 'F -4 3 m'
_space_group_IT_number 216
_space_group_name_Hall 'F -4 2 3'
_cell_length_a 6.403
_cell_length_b 6.403
_cell_length_c 6.403
_cell_angle_alpha 90.00
_cell_angle_beta 90.00
_cell_angle_gamma 90.00
loop_
_atom_site_label
_atom_site_type_symbol
_atom_site_fract_x
_atom_site_fract_y
_atom_site_fract_z
_atom_site_occupancy
Pm1 Pm 0.000 0.000 0.000 1
Ni1 Ni 0.250 0.250 0.250 1
Mo1 Mo 0.250 0.250 0.750 1
```

Summary:
E_form	1317	meV/atom
excess energy over the best structure of this formula in the dataset	2.05	eV per formula unit
magnetization	11.4	Bohr magnetons per cell



# 3
NiSnMoPt | PBE-GGA | relaxed

Structure (CIF):
```
data_NiSnMoPt
_chemical_formula_sum 'Ni4 Sn4 Mo4 Pt4'
_space_group_name_H-M_alt 'F -4 3 m'
_space_group_IT_number 216
_space_group_name_Hall 'F -4 2 3'
_cell_length_a 6.349
_cell_length_b 6.349
_cell_length_c 6.349
_cell_angle_alpha 90.00
_cell_angle_beta 90.00
_cell_angle_gamma 90.00
loop_
_atom_site_label
_atom_site_type_symbol
_atom_site_fract_x
_atom_site_fract_y
_atom_site_fract_z
_atom_site_occupancy
Ni1 Ni 0.000 0.000 0.000 1
Sn1 Sn 0.250 0.250 0.750 1
Mo1 Mo 0.250 0.250 0.250 1
Pt1 Pt 0.000 0.000 0.500 1
```

Summary:
excess energy over the best structure of this formula in the dataset	0.14	eV per formula unit
magnetization	6.2	Bohr magnetons per cell



# 4
NiSnMoPt | PBE-GGA | relaxed

Structure (CIF):
```
data_NiSnMoPt
_chemical_formula_sum 'Ni4 Sn4 Mo4 Pt4'
_space_group_name_H-M_alt 'F -4 3 m'
_space_group_IT_number 216
_space_group_name_Hall 'F -4 2 3'
_cell_length_a 6.350
_cell_length_b 6.350
_cell_length_c 6.350
_cell_angle_alpha 90.00
_cell_angle_beta 90.00
_cell_angle_gamma 90.00
loop_
_atom_site_label
_atom_site_type_symbol
_atom_site_fract_x
_atom_site_fract_y
_atom_site_fract_z
_atom_site_occupancy
Ni1 Ni 0.000 0.000 0.000 1
Sn1 Sn 0.250 0.250 0.750 1
Mo1 Mo 0.000 0.000 0.500 1
Pt1 Pt 0.250 0.250 0.250 1
```

Summary:
excess energy over the best structure of this formula in the dataset	0.00	eV per formula unit
magnetization	3.3	Bohr magnetons per cell



# 5
Re2NiMo | PBE-GGA | relaxed

Structure (CIF):
```
data_Re2NiMo
_chemical_formula_sum 'Re8 Ni4 Mo4'
_space_group_name_H-M_alt 'F -4 3 m'
_space_group_IT_number 216
_space_group_name_Hall 'F -4 2 3'
_cell_length_a 6.116
_cell_length_b 6.116
_cell_length_c 6.116
_cell_angle_alpha 90.00
_cell_angle_beta 90.00
_cell_angle_gamma 90.00
loop_
_atom_site_label
_atom_site_type_symbol
_atom_site_fract_x
_atom_site_fract_y
_atom_site_fract_z
_atom_site_occupancy
Re1 Re 0.000 0.000 0.000 1
Re2 Re 0.250 0.250 0.250 1
Ni1 Ni 0.250 0.250 0.750 1
Mo1 Mo 0.000 0.000 0.500 1
```

Summary:
E_form	196	meV/atom
magnetization	0.1	Bohr magnetons per cell



# 6
ReNiSbMo | PBE-GGA | relaxed

Structure (CIF):
```
data_ReNiSbMo
_chemical_formula_sum 'Re4 Ni4 Sb4 Mo4'
_space_group_name_H-M_alt 'F -4 3 m'
_space_group_IT_number 216
_space_group_name_Hall 'F -4 2 3'
_cell_length_a 6.278
_cell_length_b 6.278
_cell_length_c 6.278
_cell_angle_alpha 90.00
_cell_angle_beta 90.00
_cell_angle_gamma 90.00
loop_
_atom_site_label
_atom_site_type_symbol
_atom_site_fract_x
_atom_site_fract_y
_atom_site_fract_z
_atom_site_occupancy
Re1 Re 0.000 0.000 0.000 1
Ni1 Ni 0.250 0.250 0.750 1
Sb1 Sb 0.000 0.000 0.500 1
Mo1 Mo 0.250 0.250 0.250 1
```

Summary:
calculated total energy	-7.837	eV per atom
magnetization	0.0	Bohr magnetons per cell